[1]
# LiBeZn

LiBeZn after structural relaxation (PBE, Alexandria via LeMat-Bulk).

Cell and atoms, written as POSCAR:
```
LiBeZn
1.0
9.162 0.000 0.000
0.000 4.023 0.000
0.000 0.000 4.586
Li Be Zn
4 4 4
direct
0.243 0.250 0.051
0.257 0.750 0.551
0.743 0.250 0.449
0.757 0.750 0.949
0.027 0.750 0.889
0.473 0.250 0.389
0.527 0.750 0.611
0.973 0.250 0.111
0.039 0.250 0.631
0.461 0.750 0.131
0.539 0.250 0.869
0.961 0.750 0.369
```

Output
E above lowest polymorph: 0.000 eV/atom
Space group: Pnma, No. 62
DOS(E_F): 3.60 states/eV/cell
Crystal system: orthorhombic



[2]
# Li8BiN2

Li8BiN2 after structural relaxation (PBE, Alexandria via LeMat-Bulk).

Cell and atoms, written as POSCAR:
```
Li8BiN2
1.0
2.725 -4.928 0.000
2.725 4.928 0.000
-0.008 0.000 5.596
Li Bi N
8 1 2
direct
0.000 0.000 0.000
0.002 0.002 0.414
0.049 0.485 0.970
0.049 0.486 0.445
0.485 0.049 0.970
0.486 0.049 0.445
0.489 0.739 0.207
0.739 0.489 0.207
0.516 0.516 0.707
0.163 0.806 0.207
0.806 0.163 0.207
```

Output
E_form (uncorrected): -0.34 eV per atom
E above lowest polymorph: 0.015 eV/atom
Space group: Cm, No. 8
DOS(E_F): 3.50 states/eV/cell
Crystal system: monoclinic